[1]
Density functional theory data (GGA-PBE) for crystalline PuIn2Pd at its relaxed geometry.

The structure in POSCAR format:
```
PuIn2Pd
1.0
3.315 0.000 0.000
1.657 2.870 0.000
1.657 0.957 9.599
In Pd Pu
2 1 1
direct
0.262 0.262 0.213
0.738 0.738 0.787
0.000 0.000 0.000
0.500 0.500 0.500
```

Results
Energy of formation   -188 meV per atom
Calculated total energy   -25.753 eV for the cell shown
Density of states at the Fermi level   8.1 states/eV/cell
Crystal system   trigonal
Energy relative to the lowest polymorph listed for this composition   79.8 kJ/mol of formula units



[2]
Density functional theory data (GGA-PBE) for crystalline PuInPd at its relaxed geometry.

The structure in POSCAR format:
```
PuInPd
1.0
3.116 0.000 0.000
0.000 4.900 0.000
0.000 -2.450 4.244
In Pd Pu
1 1 1
direct
0.166 0.667 0.333
0.167 0.000 0.000
0.666 0.333 0.667
```

Results
Energy of formation   -378 meV per atom
Calculated total energy   -23.398 eV for the cell shown
Density of states at the Fermi level   9.6 states/eV/cell
Crystal system   hexagonal



[3]
Density functional theory data (GGA-PBE) for crystalline PuIn4Pd2 at its relaxed geometry.

The structure in POSCAR format:
```
PuIn4Pd2
1.0
3.320 0.000 0.000
0.000 9.679 0.000
0.000 0.000 9.679
Pu In Pd
2 8 4
direct
0.500 0.000 0.000
0.000 0.500 0.500
0.000 0.062 0.302
0.000 0.938 0.698
0.500 0.198 0.562
0.500 0.802 0.438
0.500 0.438 0.802
0.500 0.562 0.198
0.000 0.302 0.062
0.000 0.698 0.938
0.000 0.205 0.795
0.000 0.795 0.205
0.500 0.705 0.705
0.500 0.295 0.295
```

Results
Energy of formation   -315 meV per atom
Calculated total energy   -75.748 eV for the cell shown
Density of states at the Fermi level   22.9 states/eV/cell
Crystal system   tetragonal
Energy relative to the lowest polymorph listed for this composition   61.1 kJ/mol of formula units



[4]
Density functional theory data (GGA-PBE) for crystalline Pu2In8Pd at its relaxed geometry.

The structure in POSCAR format:
```
Pu2In8Pd
1.0
-4.656 -0.351 0.557
-0.036 -3.837 -2.718
1.702 -6.977 9.826
Pu In Pd
2 8 1
direct
0.000 0.000 0.310
0.000 0.000 0.690
0.000 0.500 0.500
0.500 0.000 0.500
0.500 0.500 0.310
0.500 0.500 0.690
0.000 0.500 0.126
0.500 0.000 0.126
0.000 0.500 0.874
0.500 0.000 0.874
0.000 0.000 0.000
```

Results
Energy of formation   -290 meV per atom
Calculated total energy   -58.954 eV for the cell shown
Density of states at the Fermi level   24.2 states/eV/cell
Crystal system   tetragonal



[5]
Density functional theory data (GGA-PBE) for crystalline PuInPd2 at its relaxed geometry.

The structure in POSCAR format:
```
PuInPd2
1.0
3.319 0.000 0.000
0.000 3.319 0.000
0.000 0.000 7.195
In Pd Pu
1 2 1
direct
0.500 0.500 0.000
0.000 0.000 0.781
0.000 0.000 0.219
0.500 0.500 0.500
```

Results
Energy of formation   -436 meV per atom
Calculated total energy   -29.200 eV for the cell shown
Density of states at the Fermi level   9.9 states/eV/cell
Crystal system   tetragonal



[6]
Density functional theory data (GGA-PBE) for crystalline PuInPd at its relaxed geometry.

The structure in POSCAR format:
```
PuInPd
1.0
-1.113 0.742 4.814
-2.194 -3.710 -2.528
4.318 -3.613 1.555
Pu In Pd
2 2 2
direct
0.000 0.500 0.000
0.000 0.500 0.500
0.667 0.833 0.750
0.333 0.167 0.250
0.333 0.167 0.750
0.667 0.833 0.250
```

Results
Energy of formation   -479 meV per atom
Calculated total energy   -47.398 eV for the cell shown
Density of states at the Fermi level   16.3 states/eV/cell
Crystal system   hexagonal



[7]
Density functional theory data (GGA-PBE) for crystalline Pu3InPd12 at its relaxed geometry.

The structure in POSCAR format:
```
Pu3InPd12
1.0
4.119 0.000 0.000
0.000 4.119 0.000
0.000 0.000 16.433
Pu In Pd
3 1 12
direct
0.000 0.000 0.246
0.000 0.000 0.500
0.000 0.000 0.754
0.000 0.000 0.000
0.500 0.500 0.000
0.500 0.500 0.248
0.500 0.500 0.500
0.500 0.500 0.752
0.500 0.000 0.122
0.500 0.000 0.376
0.500 0.000 0.624
0.500 0.000 0.878
0.000 0.500 0.122
0.000 0.500 0.376
0.000 0.500 0.624
0.000 0.500 0.878
```

Results
Energy of formation   -415 meV per atom
Calculated total energy   -114.689 eV for the cell shown
Density of states at the Fermi level   48.1 states/eV/cell
Crystal system   tetragonal



[8]
Density functional theory data (GGA-PBE) for crystalline Pu3In2Pd4 at its relaxed geometry.

The structure in POSCAR format:
```
Pu3In2Pd4
1.0
4.835 0.000 0.000
-2.417 4.151 0.543
0.000 -1.180 9.051
Pu In Pd
3 2 4
direct
0.333 0.667 0.562
0.000 0.000 0.000
0.667 0.333 0.438
0.333 0.667 0.208
0.667 0.333 0.792
0.667 0.333 0.109
0.000 0.000 0.663
0.000 0.000 0.337
0.333 0.667 0.891
```

Results
Energy of formation   -442 meV per atom
Calculated total energy   -73.223 eV for the cell shown
Density of states at the Fermi level   29.3 states/eV/cell
Crystal system   trigonal